Entry from Alexandria via LeMat-Bulk: Ba2CuPb after structural relaxation (GGA-PBE).

Output
* theoretical density: 6.11 g/cm3
* ΔE_f: -0.21 eV per atom
* volume: 37.030 Å³ per atom
* space group: Pm, No. 6
* Fermi-level density of states: 2.45 states/eV/f.u.

a = 6.043 Å, b = 4.055 Å, c = 6.044 Å
α = 90.02°, β = 90.00°, γ = 90.00°
Positions (direct):
Pb  0.500  0.627  0.872
Ba  0.500  0.127  0.373
Ba  0.000  0.127  0.875
Cu  0.000  0.620  0.379